A plane-wave DFT calculation with PBE-GGA was carried out for a relaxed structure of DyAsAu2.

CIF file:
```
data_DyAsAu2
_chemical_formula_sum 'Dy1 As1 Au2'
_space_group_name_H-M_alt 'P 4/m m m'
_space_group_IT_number 123
_space_group_name_Hall '-P 4 2'
_cell_length_a 4.0499
_cell_length_b 4.0499
_cell_length_c 5.0219
_cell_angle_alpha 90.00
_cell_angle_beta 90.00
_cell_angle_gamma 90.00
loop_
_atom_site_label
_atom_site_type_symbol
_atom_site_fract_x
_atom_site_fract_y
_atom_site_fract_z
Dy1 Dy 0.0000 0.0000 0.0000
As1 As 0.5000 0.5000 0.0000
Au1 Au 0.0000 0.5000 0.5000
```

**E_tot**: -18.5 eV for the cell shown
**Formation enthalpy at 0 K**: -2.65 eV per formula unit